No. 1
The following is a PBE-GGA calculation of a geometry-optimized NdHgN structure, from the Alexandria database.

Values from the calculation:
- Polymorph energy (0 for the lowest one): 219 meV/atom
- N(E_F): 1.66 states/eV/cell

```
data_NdHgN
_cell_length_a 7.538
_cell_length_b 7.538
_cell_length_c 7.538
_cell_angle_alpha 148.81
_cell_angle_beta 139.37
_cell_angle_gamma 52.10
_space_group_name_H-M_alt 'P 1'
_space_group_IT_number 1
_space_group_name_Hall 'P 1'
loop_
_atom_site_label
_atom_site_fract_x
_atom_site_fract_y
_atom_site_fract_z
Nd1 0.197 0.197 0.000
Nd2 0.803 0.803 0.000
Hg1 0.253 0.500 0.753
Hg2 0.747 0.500 0.247
N1 0.278 0.778 0.500
N2 0.722 0.222 0.500
```

No. 2
The following is a PBE-GGA calculation of a geometry-optimized Nd4Hg2N structure, from the Alexandria database.

Values from the calculation:
- Polymorph energy (0 for the lowest one): 89 meV/atom
- N(E_F): 12.64 states/eV/cell

```
data_Nd4Hg2N
_cell_length_a 8.063
_cell_length_b 13.018
_cell_length_c 3.727
_cell_angle_alpha 90.00
_cell_angle_beta 90.00
_cell_angle_gamma 90.00
_space_group_name_H-M_alt 'P 1'
_space_group_IT_number 1
_space_group_name_Hall 'P 1'
loop_
_atom_site_label
_atom_site_fract_x
_atom_site_fract_y
_atom_site_fract_z
Nd1 0.112 0.182 0.000
Nd2 0.201 0.953 0.500
Nd3 0.299 0.453 0.500
Nd4 0.388 0.682 0.000
Nd5 0.612 0.318 0.000
Nd6 0.701 0.547 0.500
Nd7 0.799 0.047 0.500
Nd8 0.888 0.818 0.000
Hg1 0.068 0.657 0.500
Hg2 0.432 0.157 0.500
Hg3 0.568 0.843 0.500
Hg4 0.932 0.343 0.500
N1 0.000 0.000 0.000
N2 0.500 0.500 0.000
```

No. 3
The following is a PBE-GGA calculation of a geometry-optimized Nd3HgN structure, from the Alexandria database.

Values from the calculation:
- Electronic total energy: -26.7 eV/cell
- N(E_F): 5.69 states/eV/cell

```
data_Nd3HgN
_cell_length_a 5.020
_cell_length_b 5.020
_cell_length_c 5.020
_cell_angle_alpha 90.00
_cell_angle_beta 90.00
_cell_angle_gamma 90.00
_space_group_name_H-M_alt 'P 1'
_space_group_IT_number 1
_space_group_name_Hall 'P 1'
loop_
_atom_site_label
_atom_site_fract_x
_atom_site_fract_y
_atom_site_fract_z
Nd1 0.000 0.000 0.500
Nd2 0.000 0.500 0.000
Nd3 0.500 0.000 0.000
Hg1 0.500 0.500 0.500
N1 0.000 0.000 0.000
```

No. 4
The following is a PBE-GGA calculation of a geometry-optimized Nd12Hg3N4 structure, from the Alexandria database.

Values from the calculation:
- Electronic total energy: -103.8 eV/cell
- N(E_F): 18.72 states/eV/cell

```
data_Nd12Hg3N4
_cell_length_a 8.691
_cell_length_b 8.691
_cell_length_c 8.691
_cell_angle_alpha 109.47
_cell_angle_beta 109.47
_cell_angle_gamma 109.47
_space_group_name_H-M_alt 'P 1'
_space_group_IT_number 1
_space_group_name_Hall 'P 1'
loop_
_atom_site_label
_atom_site_fract_x
_atom_site_fract_y
_atom_site_fract_z
Nd1 0.033 0.269 0.764
Nd2 0.236 0.504 0.269
Nd3 0.236 0.967 0.731
Nd4 0.269 0.236 0.504
Nd5 0.269 0.764 0.033
Nd6 0.496 0.731 0.764
Nd7 0.504 0.269 0.236
Nd8 0.731 0.236 0.967
Nd9 0.731 0.764 0.496
Nd10 0.764 0.033 0.269
Nd11 0.764 0.496 0.731
Nd12 0.967 0.731 0.236
Hg1 0.000 0.500 0.500
Hg2 0.500 0.000 0.500
Hg3 0.500 0.500 0.000
N1 0.000 0.000 0.500
N2 0.000 0.500 0.000
N3 0.500 0.000 0.000
N4 0.500 0.500 0.500
```

No. 5
The following is a PBE-GGA calculation of a geometry-optimized Nd6HgN structure, from the Alexandria database.

Values from the calculation:
- Electronic total energy: -39.8 eV/cell
- N(E_F): 8.61 states/eV/cell

```
data_Nd6HgN
_cell_length_a 6.728
_cell_length_b 6.761
_cell_length_c 7.394
_cell_angle_alpha 63.12
_cell_angle_beta 63.41
_cell_angle_gamma 60.24
_space_group_name_H-M_alt 'P 1'
_space_group_IT_number 1
_space_group_name_Hall 'P 1'
loop_
_atom_site_label
_atom_site_fract_x
_atom_site_fract_y
_atom_site_fract_z
Nd1 0.038 0.397 0.275
Nd2 0.212 0.964 0.725
Nd3 0.395 0.790 0.276
Nd4 0.605 0.210 0.724
Nd5 0.788 0.036 0.275
Nd6 0.962 0.603 0.725
Hg1 0.500 0.500 0.000
N1 0.000 0.000 0.500
```

No. 6
The following is a PBE-GGA calculation of a geometry-optimized Nd4Hg2N structure, from the Alexandria database.

Values from the calculation:
- Polymorph energy (0 for the lowest one): 0 meV/atom
- N(E_F): 4.12 states/eV/cell

```
data_Nd4Hg2N
_cell_length_a 8.374
_cell_length_b 8.374
_cell_length_c 8.374
_cell_angle_alpha 144.84
_cell_angle_beta 144.84
_cell_angle_gamma 50.57
_space_group_name_H-M_alt 'P 1'
_space_group_IT_number 1
_space_group_name_Hall 'P 1'
loop_
_atom_site_label
_atom_site_fract_x
_atom_site_fract_y
_atom_site_fract_z
Nd1 0.000 0.500 0.500
Nd2 0.167 0.167 0.000
Nd3 0.500 0.000 0.500
Nd4 0.833 0.833 0.000
Hg1 0.370 0.370 0.000
Hg2 0.630 0.630 0.000
N1 0.000 0.000 0.000
```

No. 7
The following is a PBE-GGA calculation of a geometry-optimized Nd6Hg2NO structure, from the Alexandria database.

Values from the calculation:
- Electronic total energy: -53.1 eV/cell
- N(E_F): 7.59 states/eV/cell

```
data_Nd6Hg2NO
_cell_length_a 7.058
_cell_length_b 7.058
_cell_length_c 7.058
_cell_angle_alpha 60.00
_cell_angle_beta 60.00
_cell_angle_gamma 60.00
_space_group_name_H-M_alt 'P 1'
_space_group_IT_number 1
_space_group_name_Hall 'P 1'
loop_
_atom_site_label
_atom_site_fract_x
_atom_site_fract_y
_atom_site_fract_z
Nd1 0.248 0.248 0.752
Nd2 0.248 0.752 0.248
Nd3 0.248 0.752 0.752
Nd4 0.752 0.248 0.248
Nd5 0.752 0.248 0.752
Nd6 0.752 0.752 0.248
Hg1 0.250 0.250 0.250
Hg2 0.750 0.750 0.750
N1 0.000 0.000 0.000
O1 0.500 0.500 0.500
```

No. 8
The following is a PBE-GGA calculation of a geometry-optimized Nd2HgP2N6 structure, from the Alexandria database.

Values from the calculation:
- Electronic total energy: -75.3 eV/cell
- N(E_F): 0.76 states/eV/cell

```
data_Nd2HgP2N6
_cell_length_a 6.606
_cell_length_b 6.606
_cell_length_c 6.766
_cell_angle_alpha 115.21
_cell_angle_beta 115.21
_cell_angle_gamma 57.37
_space_group_name_H-M_alt 'P 1'
_space_group_IT_number 1
_space_group_name_Hall 'P 1'
loop_
_atom_site_label
_atom_site_fract_x
_atom_site_fract_y
_atom_site_fract_z
Nd1 0.168 0.168 0.289
Nd2 0.832 0.832 0.711
Hg1 0.500 0.500 0.000
P1 0.151 0.151 0.736
P2 0.849 0.849 0.264
N1 0.014 0.607 0.353
N2 0.075 0.075 0.873
N3 0.393 0.986 0.647
N4 0.607 0.014 0.353
N5 0.925 0.925 0.127
N6 0.986 0.393 0.647
```